[1]
Entry from Alexandria via LeMat-Bulk: an optimized crystal structure of SrGa2Au (PBE-GGA).

Lattice parameters (Å, degrees): 3.929 5.126 5.126 96.55 90.00 90.00
Fractional positions:
Sr 0.000 0.011 0.989
Ga 0.500 0.875 0.484
Ga 0.500 0.516 0.125
Au 0.500 0.378 0.622

Calculated values
Space-group type: No. 38
N(E_F), states/eV/atom: 0.66
Calculated density, kg/m3: 6864
Formation energy, eV per formula unit: -1.26
DFT total energy, eV/cell: -12.3

=====

[2]
Entry from Alexandria via LeMat-Bulk: an optimized crystal structure of CePmSn2 (PBE-GGA).

Lattice parameters (Å, degrees): 4.652 4.395 6.301 90.00 111.65 90.00
Fractional positions:
Ce 0.717 0.000 0.974
Pm 0.448 0.500 0.435
Sn 0.173 0.500 0.885
Sn 0.992 0.000 0.523

Calculated values
Space-group type: No. 38
N(E_F), states/eV/atom: 2.12
Calculated density, kg/m3: 7246
Formation energy, eV per formula unit: -2.72
DFT total energy, eV/cell: -21.4

=====

[3]
Entry from Alexandria via LeMat-Bulk: an optimized crystal structure of LiCa2ZnAu2 (PBE-GGA).

Lattice parameters (Å, degrees): 6.000 6.015 8.591 110.49 110.44 90.00
Fractional positions:
Li 0.000 0.750 0.000
Li 0.000 0.250 0.000
Ca 0.417 0.172 0.344
Ca 0.583 0.828 0.656
Ca 0.073 0.328 0.656
Ca 0.927 0.672 0.344
Zn 0.500 0.750 0.000
Zn 0.500 0.250 0.000
Au 0.861 0.116 0.232
Au 0.372 0.616 0.232
Au 0.628 0.384 0.768
Au 0.139 0.884 0.768

Calculated values
Space-group type: No. 72
N(E_F), states/eV/atom: 0.59
Calculated density, kg/m3: 6735
Formation energy, eV per formula unit: -3.64
DFT total energy, eV/cell: -34.8